{
  "formula": "YMnNi2",
  "functional": "PBE",
  "state": "relaxed",
  "total_magnetization_mub_per_atom": 1.11,
  "vol_a3_per_cell": 67.01,
  "n_ef_per_ev_atom": 0.731,
  "sg": "Pm",
  "delta_e_f_ev_per_fu": -0.39,
  "relative_energy_ev_per_fu": 0.54,
  "cell": [[3.870, 0.000, 0.000], [0.000, 3.526, 0.003], [0.000, 1.767, 4.911]],
  "species": ["Ni", "Ni", "Mn", "Y"],
  "frac_coords": [[0.000, 0.205, 0.965], [0.500, 0.063, 0.249], [0.500, 0.760, 0.854], [0.000, 0.471, 0.432]]
}


{
  "formula": "Mg3BiIr",
  "functional": "PBE",
  "state": "relaxed",
  "total_magnetization_mub_per_atom": 0.00,
  "vol_a3_per_cell": 144.38,
  "n_ef_per_ev_atom": 1.096,
  "sg": "Pm-3m",
  "delta_e_f_ev_per_fu": 5.26,
  "relative_energy_ev_per_fu": 6.42,
  "cell": [[5.246, 0.000, 0.000], [0.000, 5.246, 0.000], [0.000, 0.000, 5.246]],
  "species": ["Mg", "Mg", "Mg", "Bi", "Ir"],
  "frac_coords": [[0.500, 0.000, 0.000], [0.000, 0.000, 0.500], [0.000, 0.500, 0.000], [0.000, 0.000, 0.000], [0.500, 0.500, 0.500]]
}


{
  "formula": "SmTh2ZrP4",
  "functional": "PBE",
  "state": "relaxed",
  "total_magnetization_mub_per_atom": 0.00,
  "vol_a3_per_cell": 185.34,
  "n_ef_per_ev_atom": 0.350,
  "sg": "P2/m",
  "delta_e_f_ev_per_fu": -11.83,
  "cell": [[4.036, 0.000, 0.000], [0.000, 6.999, 0.132], [0.000, -2.436, 6.515]],
  "species": ["P", "P", "P", "P", "Sm", "Th", "Th", "Zr"],
  "frac_coords": [[0.000, 0.244, 0.760], [0.500, 0.236, 0.234], [0.000, 0.756, 0.240], [0.500, 0.764, 0.766], [0.500, 0.500, 0.000], [0.000, 0.500, 0.500], [0.500, 0.000, 0.500], [0.000, 0.000, 0.000]]
}


{
  "formula": "Hf6Ti2Fe",
  "functional": "PBE",
  "state": "relaxed",
  "total_magnetization_mub_per_atom": 0.16,
  "vol_a3_per_cell": 183.58,
  "n_ef_per_ev_atom": 1.419,
  "sg": "Cmmm",
  "delta_e_f_ev_per_fu": 2.20,
  "cell": [[2.951, -0.001, -0.406], [-0.001, 8.231, 0.000], [-1.930, -4.115, 7.824]],
  "species": ["Hf", "Hf", "Hf", "Hf", "Hf", "Hf", "Fe", "Ti", "Ti"],
  "frac_coords": [[0.673, 0.013, 0.673], [0.500, 0.305, 0.000], [0.327, 0.340, 0.328], [0.500, 0.695, 0.000], [0.327, 0.987, 0.327], [0.673, 0.660, 0.672], [0.000, 0.000, 0.000], [0.850, 0.675, 0.350], [0.150, 0.325, 0.650]]
}


{
  "formula": "PmHoIrO6",
  "functional": "PBE",
  "state": "relaxed",
  "total_magnetization_mub_per_atom": 0.33,
  "vol_a3_per_cell": 259.70,
  "n_ef_per_ev_atom": 0.294,
  "formation_energy_uncorrected_kcal_per_mol_atoms": -50.55,
  "sg": "P-31c",
  "cell": [[-2.598, 3.802, -3.020], [-1.404, -0.762, 5.270], [6.678, 6.753, 2.757]],
  "species": ["O", "O", "O", "O", "O", "O", "O", "O", "O", "O", "O", "O", "Ir", "Ir", "Pm", "Pm", "Ho", "Ho"],
  "frac_coords": [[0.333, 0.960, 0.638], [0.960, 0.627, 0.362], [0.627, 0.667, 0.638], [0.333, 0.373, 0.862], [0.040, 0.373, 0.638], [0.373, 0.333, 0.362], [0.667, 0.040, 0.362], [0.040, 0.667, 0.862], [0.960, 0.333, 0.138], [0.627, 0.960, 0.862], [0.373, 0.040, 0.138], [0.667, 0.627, 0.138], [0.333, 0.667, 0.750], [0.667, 0.333, 0.250], [0.000, 0.000, 0.500], [0.000, 0.000, 0.000], [0.333, 0.667, 0.250], [0.667, 0.333, 0.750]]
}


{
  "formula": "Ac4Pr3Sn4",
  "functional": "PBE",
  "state": "relaxed",
  "total_magnetization_mub_per_atom": 0.00,
  "vol_a3_per_cell": 386.32,
  "n_ef_per_ev_atom": 0.800,
  "sg": "Immm",
  "delta_e_f_ev_per_fu": -5.83,
  "cell": [[3.848, 0.000, 0.000], [0.000, 10.088, 0.000], [-1.924, -5.044, 9.951]],
  "species": ["Ac", "Ac", "Ac", "Ac", "Sn", "Sn", "Sn", "Sn", "Pr", "Pr", "Pr"],
  "frac_coords": [[0.334, 0.159, 0.668], [0.666, 0.841, 0.332], [0.334, 0.509, 0.668], [0.666, 0.491, 0.332], [0.500, 0.224, 0.000], [0.280, 0.780, 0.561], [0.500, 0.776, 0.000], [0.720, 0.220, 0.439], [0.088, 0.088, 0.176], [0.912, 0.912, 0.824], [0.000, 0.500, 0.000]]
}


Number 2 is which compound? Mg3BiIr